Below is a relaxed Ho3Tl2Se crystal, with properties calculated at the PBE level.

Lattice parameters (Å, degrees): 3.817 3.817 26.109 90.00 90.00 120.00
Fractional positions:
Ho: 0.000 0.000 0.000
Ho: 0.333 0.667 0.177
Ho: 0.333 0.667 0.323
Ho: 0.000 0.000 0.500
Ho: 0.667 0.333 0.677
Ho: 0.667 0.333 0.823
Tl: 0.333 0.667 0.911
Tl: 0.667 0.333 0.089
Tl: 0.667 0.333 0.411
Tl: 0.333 0.667 0.589
Se: 0.000 0.000 0.250
Se: 0.000 0.000 0.750

Final energy in eV per atom: -4.40
Crystal system: hexagonal
ρ in g/cm³: 9.9
SG: P6_3/mmc
E_form (uncorrected) in eV/atom: -0.740